{
  "formula": "CeY2Ho3S6",
  "functional": "GGA-PBE",
  "state": "optimized geometry",
  "lattice_angstrom": [[8.542, -1.953, 0.000], [8.542, 1.953, 0.000], [-1.819, 0.000, 7.658]],
  "species": ["Ce", "Y", "Y", "Ho", "Ho", "Ho", "S", "S", "S", "S", "S", "S"],
  "fractional_positions": [[0.000, 0.000, 0.000], [0.335, 0.335, 0.671], [0.665, 0.665, 0.329], [0.000, 0.000, 0.500], [0.335, 0.335, 0.165], [0.665, 0.665, 0.835], [0.167, 0.167, 0.585], [0.171, 0.171, 0.083], [0.499, 0.499, 0.259], [0.501, 0.501, 0.741], [0.829, 0.829, 0.917], [0.833, 0.833, 0.415]],
  "e_tot_ev_per_cell": -81.3,
  "e_form_raw_kj_per_mol_atoms": -192.7
}

=====

{
  "formula": "CeYHo2S6",
  "functional": "GGA-PBE",
  "state": "optimized geometry",
  "lattice_angstrom": [[3.488, 2.014, 6.182], [-3.488, 2.014, 6.182], [0.000, -4.027, 6.182]],
  "species": ["Ce", "Y", "Ho", "Ho", "S", "S", "S", "S", "S", "S"],
  "fractional_positions": [[0.000, 0.000, 0.000], [0.505, 0.505, 0.505], [0.204, 0.204, 0.204], [0.707, 0.707, 0.707], [0.101, 0.413, 0.807], [0.324, 0.912, 0.585], [0.413, 0.807, 0.101], [0.585, 0.324, 0.912], [0.807, 0.101, 0.413], [0.912, 0.585, 0.324]],
  "e_tot_ev_per_cell": -66.6,
  "e_form_raw_kj_per_mol_atoms": -195.3
}

=====

{
  "formula": "Ce2YHoS5",
  "functional": "GGA-PBE",
  "state": "optimized geometry",
  "lattice_angstrom": [[4.901, 0.000, 0.000], [0.000, 4.901, 0.000], [0.000, 0.000, 10.289]],
  "species": ["Ce", "Ce", "Y", "Ho", "S", "S", "S", "S", "S"],
  "fractional_positions": [[0.000, 0.000, 0.200], [0.000, 0.000, 0.800], [0.500, 0.500, 0.500], [0.500, 0.500, 0.000], [0.000, 0.000, 0.500], [0.000, 0.500, 0.000], [0.500, 0.000, 0.000], [0.500, 0.500, 0.255], [0.500, 0.500, 0.745]],
  "e_tot_ev_per_cell": -57.0,
  "e_form_raw_kj_per_mol_atoms": -144.6
}

=====

{
  "formula": "Ce4Y3HoS8",
  "functional": "GGA-PBE",
  "state": "optimized geometry",
  "lattice_angstrom": [[3.949, 2.280, 6.537], [-3.949, 2.280, 6.537], [0.000, -4.560, 6.537]],
  "species": ["Ce", "Ce", "Ce", "Ce", "Y", "Y", "Y", "Ho", "S", "S", "S", "S", "S", "S", "S", "S"],
  "fractional_positions": [[0.000, 0.000, 0.000], [0.000, 0.500, 0.500], [0.500, 0.000, 0.500], [0.500, 0.500, 0.000], [0.000, 0.000, 0.500], [0.000, 0.500, 0.000], [0.500, 0.000, 0.000], [0.500, 0.500, 0.500], [0.246, 0.246, 0.246], [0.248, 0.745, 0.745], [0.255, 0.255, 0.752], [0.255, 0.752, 0.255], [0.745, 0.248, 0.745], [0.745, 0.745, 0.248], [0.752, 0.255, 0.255], [0.754, 0.754, 0.754]],
  "e_tot_ev_per_cell": -113.2,
  "e_form_raw_kj_per_mol_atoms": -195.8
}